Entry 1:
Below is Ca3Hg4Ge2 after structural relaxation, with properties calculated at the PBE level.

```
Ca3Hg4Ge2
1.0
5.742 -2.296 0.000
5.742 2.296 0.000
-3.640 0.000 8.676
Ca Hg Ge
3 4 2
Cartesian
0.000 0.000 0.000
2.333 0.000 3.172
5.510 0.000 5.504
-1.058 0.000 3.100
-0.309 0.000 7.953
8.152 0.000 0.723
8.901 0.000 5.576
1.902 0.000 6.343
5.941 0.000 2.333
```

Output
Magnetization = 0.00 Bohr magnetons per cell
Energy = -2.272 eV per atom
Crystal system = monoclinic
SG = C2/m, No. 12

---

Entry 2:
Below is CaHgGe after structural relaxation, with properties calculated at the PBE level.

```
CaHgGe
1.0
4.552 0.000 0.000
2.262 5.464 0.000
2.275 0.818 5.793
Ca Hg Ge
2 2 2
Cartesian
1.131 1.222 1.093
7.957 5.059 4.700
3.406 1.832 3.372
5.682 4.450 2.421
3.406 3.571 0.982
5.682 2.710 4.810
```

Output
Magnetization = 0.00 Bohr magnetons per cell
Energy = -2.723 eV per atom
Crystal system = triclinic
SG = P-1, No. 2

---

Entry 3:
Below is Ca6HgGe2 after structural relaxation, with properties calculated at the PBE level.

```
Ca6HgGe2
1.0
-4.993 5.034 5.426
4.993 -5.034 5.426
4.993 5.034 -5.426
Ca Hg Ge
12 2 4
Cartesian
4.993 -3.115 3.580
3.023 0.000 2.675
6.962 0.000 2.675
3.196 2.790 0.000
6.789 2.790 0.000
0.000 1.919 1.846
4.993 3.115 3.580
-1.797 2.244 5.426
1.797 2.244 5.426
-1.970 5.034 2.751
1.970 5.034 2.751
0.000 8.149 1.846
4.993 0.000 0.000
0.000 5.034 0.000
1.541 0.000 0.000
8.444 0.000 0.000
0.000 0.000 4.146
0.000 0.000 6.706
```

Output
Magnetization = 1.86 Bohr magnetons per cell
Energy = -2.860 eV per atom
Crystal system = orthorhombic
SG = Immm, No. 71

---

Entry 4:
Below is CaHgGe after structural relaxation, with properties calculated at the PBE level.

```
CaHgGe
1.0
-2.487 3.918 3.732
2.487 -3.918 3.732
2.487 3.918 -3.732
Ca Hg Ge
2 2 2
Cartesian
1.244 1.708 0.000
1.244 2.210 3.732
1.244 -0.739 2.191
1.244 4.657 -1.541
1.244 -0.515 5.265
1.244 4.433 1.533
```

Output
Magnetization = 0.00 Bohr magnetons per cell
Energy = -2.694 eV per atom
Crystal system = orthorhombic
SG = Ima2, No. 46

---

Entry 5:
Below is CaHgGe after structural relaxation, with properties calculated at the PBE level.

```
CaHgGe
1.0
-1.666 1.666 7.916
1.666 -1.666 7.916
1.666 1.666 -7.916
Ca Hg Ge
1 1 1
Cartesian
0.000 0.000 0.000
0.000 0.000 3.042
0.000 0.000 12.888
```

Output
Magnetization = 0.00 Bohr magnetons per cell
Energy = -1.976 eV per atom
Crystal system = tetragonal
SG = I4mm, No. 107

---

Entry 6:
Below is Ca5Hg2Ge2 after structural relaxation, with properties calculated at the PBE level.

```
Ca5Hg2Ge2
1.0
8.264 -3.928 0.000
8.264 3.928 0.000
0.000 0.000 7.833
Ca Hg Ge
10 4 4
Cartesian
0.000 0.000 0.000
6.131 2.540 5.280
6.131 1.387 1.364
10.397 2.540 5.280
10.397 1.387 1.364
8.264 0.000 3.916
6.131 -1.387 6.469
6.131 -2.540 2.552
10.397 -1.387 6.469
10.397 -2.540 2.552
3.474 0.000 0.000
4.790 0.000 3.916
11.738 0.000 3.916
13.053 0.000 0.000
8.264 3.002 2.991
8.264 0.925 6.908
8.264 -0.925 0.925
8.264 -3.002 4.841
```

Output
Magnetization = 0.00 Bohr magnetons per cell
Energy = -2.759 eV per atom
Crystal system = orthorhombic
SG = Cmce, No. 64

---

Entry 7:
Below is Ca8Hg2Ge after structural relaxation, with properties calculated at the PBE level.

```
Ca8Hg2Ge
1.0
-2.542 4.339 7.882
2.542 -4.339 7.882
2.542 4.339 -7.882
Ca Hg Ge
8 2 1
Cartesian
2.542 2.418 -2.593
0.000 0.000 2.123
0.000 2.694 0.000
2.542 2.418 2.593
0.000 1.921 5.289
0.000 5.983 0.000
0.000 0.000 13.641
0.000 1.921 10.475
2.542 0.000 4.942
0.000 4.339 2.940
2.542 0.000 0.000
```

Output
Magnetization = 0.00 Bohr magnetons per cell
Energy = -2.208 eV per atom
Crystal system = orthorhombic
SG = Immm, No. 71

---

Entry 8:
Below is Ca2HgGe after structural relaxation, with properties calculated at the PBE level.

```
Ca2HgGe
1.0
0.000 3.726 3.726
3.726 0.000 3.726
3.726 3.726 0.000
Ca Hg Ge
2 1 1
Cartesian
1.863 1.863 1.863
5.589 5.589 5.589
0.000 0.000 0.000
3.726 3.726 3.726
```

Output
Magnetization = 0.00 Bohr magnetons per cell
Energy = -2.829 eV per atom
Crystal system = cubic
SG = Fm-3m, No. 225

---

Calculated volume, 229 72 273 73 88 254 348 103 Å³/f.u. (same order as the records).
Calculated energy relative to the elements, -10.26 -9.59 -10.75 -8.92 7.64 -12.76 -6.41 -13.81 kcal/mol of atoms (same order as the records).
Calculated DOS at the Fermi energy, 2.53 2.02 12.21 2.32 1.44 14.02 5.36 0.00 states/eV/cell (same order as the records).